Entry from Alexandria: a relaxed CuP2Au crystal (PBE). Values from VASP.

Size of the total moment (μB per formula unit): 0.0
Polymorph energy (0 for the lowest one) (meV/atom): 243

```
&SYSTEM
  ibrav = 0, nat = 4, ntyp = 3
/
ATOMIC_SPECIES
Au 196.97 Au.upf
Cu 63.55 Cu.upf
P 30.97 P.upf
ATOMIC_POSITIONS angstrom
Au 0.000 0.000 3.147
Cu 1.350 1.870 6.506
P 0.000 0.000 5.678
P 1.350 1.870 1.946
CELL_PARAMETERS angstrom
2.699 0.000 0.000
0.000 3.740 0.000
0.000 0.000 6.911
```

Entry from Alexandria: a relaxed CuP2Au crystal (PBE). Values from VASP.

Size of the total moment (μB per formula unit): 0.0
Polymorph energy (0 for the lowest one) (meV/atom): 271

```
&SYSTEM
  ibrav = 0, nat = 4, ntyp = 3
/
ATOMIC_SPECIES
Au 196.97 Au.upf
Cu 63.55 Cu.upf
P 30.97 P.upf
ATOMIC_POSITIONS angstrom
Au 2.922 0.752 2.096
Cu -0.701 2.934 2.096
P 0.000 0.000 0.000
P 1.315 2.183 0.748
CELL_PARAMETERS angstrom
4.938 0.001 0.748
-2.308 4.365 0.748
0.906 1.503 3.444
```

Entry from Alexandria: a relaxed CuPAu2 crystal (PBE). Values from VASP.

Size of the total moment (μB per formula unit): 0.0
E_tot (eV per formula unit): -15.40

```
&SYSTEM
  ibrav = 0, nat = 4, ntyp = 3
/
ATOMIC_SPECIES
Au 196.97 Au.upf
Cu 63.55 Cu.upf
P 30.97 P.upf
ATOMIC_POSITIONS angstrom
Au 0.168 0.030 0.018
Au 5.683 1.024 0.604
Cu 11.498 2.073 1.222
P 17.735 3.197 1.886
CELL_PARAMETERS angstrom
8.159 -0.089 -0.052
7.615 2.932 -0.052
7.615 1.373 2.591
```